NpVNiO6 after structural relaxation, computed with GGA+U. Values from VASP.

Geometry as Quantum ESPRESSO input:
```
&SYSTEM
  ibrav = 0, nat = 18, ntyp = 4
/
ATOMIC_SPECIES
O 16.00 O.upf
V 50.94 V.upf
Ni 58.69 Ni.upf
Np 237.00 Np.upf
CELL_PARAMETERS angstrom
5.2838 0.0000 0.0000
-2.6419 4.5759 0.0000
0.0000 0.0000 8.8231
ATOMIC_POSITIONS crystal
O 0.6627 0.0155 0.3676
O 0.3528 0.0155 0.1324
O 0.9845 0.3373 0.1324
O 0.0155 0.6627 0.8676
O 0.6472 0.9845 0.8676
O 0.3373 0.9845 0.6324
O 0.3528 0.3373 0.3676
O 0.0155 0.3528 0.6324
O 0.3373 0.3528 0.8676
O 0.6627 0.6472 0.1324
O 0.6472 0.6627 0.6324
O 0.9845 0.6472 0.3676
V 0.3333 0.6667 0.7500
V 0.6667 0.3333 0.2500
Ni 0.0000 0.0000 0.5000
Ni 0.0000 0.0000 0.0000
Np 0.6667 0.3333 0.7500
Np 0.3333 0.6667 0.2500
```

* symmetry: No. 163
* volume: 213.3 Å³ per cell
* total energy: -142.2 eV for the cell shown
* total moment: 4.00 μB/f.u.